NaNd4Pb4: optimized geometry, PBE.

As for the total magnetization: 0.00 μB/f.u. As for the total energy: -4.205 eV per atom. Its energy relative to the elements is -0.291 eV/atom.

The space group is P4_2/n (No. 86, origin choice 2) and the conventional cell measures 9.366, 9.366 and 6.597 Å, with angles of 90.00, 90.00 and 90.00 degrees. The asymmetric unit holds Na at (0.250, 0.250, 0.250), Nd at (0.020, 0.674, 0.109) and Pb at (0.018, 0.656, 0.597).

=====

LaTlIn2: optimized geometry, PBE.

As for the total magnetization: 0.00 μB/f.u. As for the total energy: -3.453 eV per atom. Its energy relative to the elements is -0.260 eV/atom.

The space group is Pm (No. 6) and the conventional cell measures 3.386, 5.239 and 6.479 Å, with angles of 90.00, 90.14 and 90.00 degrees. The asymmetric unit holds La at (0.000, 0.000, 0.000), Tl at (0.495, 0.500, 0.753), In at (0.500, 0.000, 0.494) and In at (0.503, 0.500, 0.241).

=====

KLaTeAu2: optimized geometry, PBE.

The uncorrected formation energy comes out at 0.22 eV per atom. As for the total magnetization: 0.14 μB/f.u. As for the total energy: -2.925 eV per atom.

The space group is P4/mmm (No. 123) and the conventional cell measures 5.410, 5.410 and 5.842 Å, with angles of 90.00, 90.00 and 90.00 degrees. The asymmetric unit holds K at (0.000, 0.000, 0.000), La at (0.500, 0.500, 0.000), Te at (0.000, 0.000, 0.500) and Au at (0.000, 0.500, 0.500).

=====

LaTe2AsI: optimized geometry, PBE.

The uncorrected formation energy comes out at 0.02 eV per atom. As for the total magnetization: 1.19 μB/f.u. As for the total energy: -3.461 eV per atom. The offset from the most stable computed form comes out at 407 meV per atom.

The space group is P4/mmm (No. 123) and the conventional cell measures 6.262, 6.262 and 6.185 Å, with angles of 90.00, 90.00 and 90.00 degrees. The asymmetric unit holds La at (0.000, 0.000, 0.000), Te at (0.000, 0.500, 0.000), As at (0.500, 0.500, 0.500) and I at (0.000, 0.000, 0.500).

=====

FeNiRu: optimized geometry, PBE.

As for the total magnetization: 1.82 μB/f.u. As for the total energy: -7.680 eV per atom. Its energy relative to the elements is 0.160 eV/atom. The offset from the most stable computed form comes out at 53 meV per atom.

The space group is I4mm (No. 107) and the conventional cell measures 3.040, 3.040 and 7.947 Å, with angles of 90.00, 90.00 and 90.00 degrees. The asymmetric unit holds Fe at (0.000, 0.000, 0.000), Ni at (0.000, 0.000, 0.654) and Ru at (0.000, 0.000, 0.329).

=====

PmTmCdHg: optimized geometry, PBE.

As for the total magnetization: 0.46 μB/f.u. As for the total energy: -2.993 eV per atom. Its energy relative to the elements is -0.384 eV/atom.

The space group is F-43m (No. 216) and the conventional cell measures 7.511, 7.511 and 7.511 Å, with angles of 90.00, 90.00 and 90.00 degrees. The asymmetric unit holds Pm at (0.000, 0.000, 0.000), Tm at (0.000, 0.000, 0.500), Cd at (0.250, 0.250, 0.250) and Hg at (0.250, 0.250, 0.750).

=====

Dy6Cd2Tc: optimized geometry, PBE.

As for the total magnetization: 0.00 μB/f.u. As for the total energy: -4.357 eV per atom. Its energy relative to the elements is 0.066 eV/atom. The offset from the most stable computed form comes out at 217 meV per atom.

The space group is Immm (No. 71) and the conventional cell measures 5.152, 7.153 and 14.774 Å, with angles of 90.00, 90.00 and 90.00 degrees. The asymmetric unit holds Dy at (0.000, 0.227, 0.000), Dy at (0.000, 0.258, 0.345), Cd at (0.000, 0.500, 0.166) and Tc at (0.000, 0.500, 0.500).

=====

La4NpU3N8: optimized geometry, PBE.

The uncorrected formation energy comes out at -1.35 eV per atom. As for the total magnetization: 5.66 μB/f.u. As for the total energy: -9.669 eV per atom.

The space group is R-3m (No. 166, hexagonal axes) and the conventional cell measures 7.0912, 7.0912 and 17.7280 Å, with angles of 90.00, 90.00 and 120.00 degrees. The asymmetric unit holds La at (0.0000, 0.0000, 0.0000), La at (0.0000, 0.5000, 0.0000), Np at (0.0000, 0.0000, 0.5000), U at (0.0000, 0.5000, 0.5000), N at (0.0000, 0.0000, 0.2322) and N at (0.0100, 0.5050, 0.7671).

=====

SrMnBeP2: optimized geometry, PBE.

As for the total magnetization: 3.02 μB/f.u. As for the total energy: -5.709 eV per atom. Its energy relative to the elements is -0.630 eV/atom.

The space group is I-4m2 (No. 119) and the conventional cell measures 3.719, 3.719 and 12.568 Å, with angles of 90.00, 90.00 and 90.00 degrees. The asymmetric unit holds Sr at (0.000, 0.000, 0.000), Mn at (0.000, 0.500, 0.750), Be at (0.000, 0.500, 0.250) and P at (0.000, 0.000, 0.357).

=====

BiIrS2: optimized geometry, PBE.

The uncorrected formation energy comes out at 0.03 eV per atom. As for the total magnetization: 0.00 μB/f.u. As for the total energy: -5.218 eV per atom.

The space group is R3m (No. 160, hexagonal axes) and the conventional cell measures 3.7537, 3.7537 and 25.2057 Å, with angles of 90.00, 90.00 and 120.00 degrees. The asymmetric unit holds Bi at (0.0000, 0.0000, 0.0000), Ir at (0.0000, 0.0000, 0.5700), S at (0.0000, 0.0000, 0.3980) and S at (0.0000, 0.0000, 0.8754).

=====

Ce2MgAlIr2: optimized geometry, PBE.

As for the total magnetization: 0.48 μB/f.u. As for the total energy: -6.504 eV per atom. Its energy relative to the elements is -0.683 eV/atom.

The space group is Ibam (No. 72) and the conventional cell measures 5.761, 14.838 and 5.786 Å, with angles of 90.00, 90.00 and 90.00 degrees. The asymmetric unit holds Ce at (0.235, 0.171, 0.000), Mg at (0.000, 0.000, 0.250), Al at (0.000, 0.500, 0.250) and Ir at (0.229, 0.377, 0.000).

=====

BaAsPPt6: optimized geometry, PBE.

As for the total magnetization: 0.00 μB/f.u. As for the total energy: -5.707 eV per atom. Its energy relative to the elements is -0.349 eV/atom.

The space group is Imma (No. 74) and the conventional cell measures 7.319, 7.960 and 13.921 Å, with angles of 90.00, 90.00 and 90.00 degrees. The asymmetric unit holds Ba at (0.000, 0.250, 0.138), As at (0.000, 0.000, 0.500), P at (0.250, 0.250, 0.750), Pt at (0.000, 0.250, 0.393), Pt at (0.000, 0.250, 0.855) and Pt at (0.191, 0.040, 0.646).

=====

PmHoTl2: optimized geometry, PBE.

As for the total magnetization: 0.00 μB/f.u. As for the total energy: -3.774 eV per atom. Its energy relative to the elements is -0.259 eV/atom.

The space group is R-3m (No. 166, hexagonal axes) and the conventional cell measures 3.7921, 3.7921 and 29.0827 Å, with angles of 90.00, 90.00 and 120.00 degrees. The asymmetric unit holds Pm at (0.0000, 0.0000, 0.0000), Ho at (0.0000, 0.0000, 0.5000) and Tl at (0.0000, 0.0000, 0.2479).

=====

Tb4Nd2HoEr2: optimized geometry, PBE.

As for the total magnetization: 0.00 μB/f.u. As for the total energy: -4.556 eV per atom. Its energy relative to the elements is 0.084 eV/atom.

The space group is P-1 (No. 2) and the conventional cell measures 6.013, 6.642 and 8.598 Å, with angles of 79.66, 70.20 and 64.86 degrees. The asymmetric unit holds Tb at (0.116, 0.127, 0.263), Tb at (0.239, 0.575, 0.384), Nd at (0.233, 0.324, 0.842), Ho at (0.500, 0.000, 0.500) and Er at (0.320, 0.771, 0.945).

=====

Ba2SnHgPd: optimized geometry, PBE.

As for the total magnetization: 0.00 μB/f.u. As for the total energy: -3.170 eV per atom. Its energy relative to the elements is -0.501 eV/atom.

The space group is P4/mmm (No. 123) and the conventional cell measures 6.191, 6.191 and 5.084 Å, with angles of 90.00, 90.00 and 90.00 degrees. The asymmetric unit holds Ba at (0.000, 0.500, 0.000), Sn at (0.000, 0.000, 0.500), Hg at (0.500, 0.500, 0.500) and Pd at (0.000, 0.000, 0.000).

=====

Tl2NiGeSe4: optimized geometry, PBE.

The uncorrected formation energy comes out at -0.23 eV per atom. As for the total magnetization: 1.99 μB/f.u. As for the total energy: -3.863 eV per atom.

The space group is Fddd (No. 70, origin choice 2) and the conventional cell measures 6.436, 12.974 and 23.606 Å, with angles of 90.00, 90.00 and 90.00 degrees. The asymmetric unit holds Tl at (0.125, 0.125, 0.316), Ni at (0.125, 0.125, 0.125), Ge at (0.125, 0.125, 0.625) and Se at (0.123, 0.276, 0.823).

=====

BaZr2Co: optimized geometry, PBE.

As for the total magnetization: 0.00 μB/f.u. As for the total energy: -6.214 eV per atom. Its energy relative to the elements is 0.317 eV/atom. The offset from the most stable computed form comes out at 156 meV per atom.

The space group is Imm2 (No. 44) and the conventional cell measures 3.363, 3.915 and 16.760 Å, with angles of 90.00, 90.00 and 90.00 degrees. The asymmetric unit holds Ba at (0.000, 0.000, 0.000), Zr at (0.000, 0.000, 0.322), Zr at (0.000, 0.500, 0.183) and Co at (0.000, 0.500, 0.707).

=====

PrTaO4: optimized geometry, PBE.

The uncorrected formation energy comes out at -2.97 eV per atom. As for the total magnetization: 0.00 μB/f.u. As for the total energy: -9.047 eV per atom.

The space group is Imma (No. 74) and the conventional cell measures 6.634, 7.442 and 7.115 Å, with angles of 90.00, 90.00 and 90.00 degrees. The asymmetric unit holds Pr at (0.000, 0.250, 0.210), Ta at (0.250, 0.250, 0.750), O at (0.000, 0.080, 0.773) and O at (0.219, 0.250, 0.478).

=====

LaPr5Te6: optimized geometry, PBE.

The uncorrected formation energy comes out at -1.47 eV per atom. As for the total magnetization: 0.00 μB/f.u. As for the total energy: -5.443 eV per atom.

The space group is C2/m (No. 12) and the conventional cell measures 7.857, 13.659 and 7.857 Å, with angles of 90.00, 109.60 and 90.00 degrees. The asymmetric unit holds La at (0.000, 0.000, 0.000), Pr at (0.000, 0.167, 0.500), Pr at (0.000, 0.332, 0.000), Pr at (0.000, 0.500, 0.500), Te at (0.249, 0.333, 0.749) and Te at (0.249, 0.500, 0.250).

=====

CrHPdPt2: optimized geometry, PBE.

As for the total magnetization: 3.32 μB/f.u. As for the total energy: -6.147 eV per atom. The offset from the most stable computed form comes out at 0 meV per atom.

The space group is P4/mmm (No. 123) and the conventional cell measures 3.979, 3.979 and 4.021 Å, with angles of 90.00, 90.00 and 90.00 degrees. The asymmetric unit holds Cr at (0.000, 0.000, 0.000), H at (0.500, 0.500, 0.500), Pd at (0.500, 0.500, 0.000) and Pt at (0.000, 0.500, 0.500).

=====

no.,DOS at the Fermi energy (states/eV per atom)
1,0.760
2,0.722
3,1.341
4,0.983
5,0.946
6,1.020
7,1.410
8,1.277
9,0.656
10,0.785
11,1.208
12,0.367
13,0.558
14,1.548
15,0.312
16,0.361
17,1.425
18,0.000
19,0.516
20,0.827